Below is Pm3NdNi2 after structural relaxation, with properties calculated at the PBE level.

Unit cell a=6.8776 b=7.0722 c=8.4252 alpha=114.82 beta=114.09 gamma=90.00
Element x y z (fractional)
Pm 0.2406 0.9906 0.4812
Nd 0.0000 0.0000 0.0000
Pm 0.5000 0.7500 0.0000
Ni 0.1473 0.8611 0.7221
Ni 0.4252 0.6389 0.2779
Ni 0.8527 0.1389 0.2779
Pm 0.7594 0.0094 0.5188
Pm 0.2406 0.4906 0.4812
Nd 0.0000 0.5000 0.0000
Pm 0.7594 0.5094 0.5188
Pm 0.5000 0.2500 0.0000
Ni 0.5748 0.3611 0.7221

The value obtained for the calculated formation energy is -0.123 eV/atom. The value obtained for the density is 6.96 Mg/m³. The calculated total energy is -5.22 eV/atom. The value obtained for the total magnetization is 0.0 μB per cell.